K2HgAu GGA-PBEsol relaxed; magnetic moment = 0.0 μB per cell; calculated formation energy = -0.222 eV/atom
1.0
-4.619 0.421 -0.634
-0.611 -4.522 1.448
1.706 1.682 5.972
K Au Hg
2 1 1
Direct
0.395 0.500 0.789
0.103 0.000 0.207
0.812 0.000 0.624
0.687 0.500 0.374